w.
{"formula": "Tl2ZnPd", "functional": "PBE", "state": "optimized geometry", "total_magnetization_mub_per_fu": 0.00, "lattice_angstrom": [[0.000, 3.505, 3.505], [3.505, 0.000, 3.505], [3.505, 3.505, 0.000]], "species": ["Tl", "Tl", "Zn", "Pd"], "frac_coords": [[0.250, 0.250, 0.250], [0.750, 0.750, 0.750], [0.000, 0.000, 0.000], [0.500, 0.500, 0.500]]}

x.
{"formula": "Tl2ZnPd", "functional": "PBE", "state": "optimized geometry", "total_magnetization_mub_per_fu": 0.00, "lattice_angstrom": [[7.895, 0.000, 0.000], [0.000, 7.895, 0.000], [3.948, 3.948, 3.003]], "species": ["Tl", "Tl", "Tl", "Tl", "Zn", "Zn", "Pd", "Pd"], "frac_coords": [[0.640, 0.125, 0.250], [0.110, 0.625, 0.250], [0.375, 0.360, 0.750], [0.875, 0.890, 0.750], [0.500, 0.500, 0.000], [0.250, 0.750, 0.500], [0.000, 0.000, 0.000], [0.750, 0.250, 0.500]]}

w is preferred energetically. Next in line: 79 meV per atom higher.

w.
{"formula": "ZrTl2Pd", "functional": "PBE", "state": "optimized geometry", "total_magnetization_mub_per_fu": 0.00, "lattice_angstrom": [[4.331, 0.000, 0.000], [0.000, 4.440, 0.000], [0.000, 0.000, 4.440]], "species": ["Tl", "Tl", "Zr", "Pd"], "frac_coords": [[0.000, 0.000, 0.500], [0.000, 0.500, 0.000], [0.500, 0.500, 0.500], [0.500, 0.000, 0.000]]}

x.
{"formula": "ZrTl2Pd", "functional": "PBE", "state": "optimized geometry", "total_magnetization_mub_per_fu": 0.00, "lattice_angstrom": [[1.847, -3.928, -2.350], [-3.032, -3.474, -1.759], [-0.635, -0.486, -4.870]], "species": ["Tl", "Tl", "Zr", "Pd"], "frac_coords": [[0.250, 0.250, 0.250], [0.750, 0.750, 0.750], [0.000, 0.000, 0.000], [0.500, 0.500, 0.500]]}

w is preferred energetically. Next in line: 101 meV per atom higher.

w.
{"formula": "ZrTl3Pd", "functional": "PBE", "state": "optimized geometry", "total_magnetization_mub_per_fu": 0.00, "lattice_angstrom": [[-3.493, -2.086, -3.224], [-1.140, -3.598, 3.564], [-3.667, 3.106, 1.963]], "species": ["Tl", "Tl", "Tl", "Zr", "Pd"], "frac_coords": [[0.000, 0.500, 0.000], [0.000, 0.000, 0.500], [0.500, 0.000, 0.000], [0.500, 0.500, 0.500], [0.000, 0.000, 0.000]]}

x.
{"formula": "ZrTl3Pd", "functional": "PBE", "state": "optimized geometry", "total_magnetization_mub_per_fu": 0.00, "lattice_angstrom": [[5.591, 0.000, 0.000], [0.000, 5.591, 0.000], [0.000, 0.000, 5.591]], "species": ["Tl", "Tl", "Tl", "Zr", "Pd"], "frac_coords": [[0.000, 0.500, 0.000], [0.000, 0.000, 0.500], [0.500, 0.000, 0.000], [0.000, 0.000, 0.000], [0.500, 0.500, 0.500]]}

w is preferred energetically. Next in line: 351 meV per atom higher.

w.
{"formula": "ZrTlPd6", "functional": "PBE", "state": "optimized geometry", "total_magnetization_mub_per_fu": 0.00, "lattice_angstrom": [[-2.472, -1.714, 2.729], [1.505, -3.655, -0.932], [5.704, 0.889, 5.726]], "species": ["Zr", "Tl", "Pd", "Pd", "Pd", "Pd", "Pd", "Pd"], "frac_coords": [[0.000, 0.000, 0.500], [0.000, 0.000, 0.000], [0.500, 0.500, 0.000], [0.500, 0.500, 0.500], [0.500, 0.000, 0.258], [0.500, 0.000, 0.742], [0.000, 0.500, 0.258], [0.000, 0.500, 0.742]]}

x.
{"formula": "ZrTlPd6", "functional": "PBE", "state": "optimized geometry", "total_magnetization_mub_per_fu": 0.00, "lattice_angstrom": [[5.381, 0.574, 0.650], [-0.017, 5.411, 0.650], [-0.017, -0.019, 5.450]], "species": ["Zr", "Tl", "Pd", "Pd", "Pd", "Pd", "Pd", "Pd"], "frac_coords": [[0.000, 0.000, 0.000], [0.500, 0.500, 0.500], [0.157, 0.536, 0.157], [0.157, 0.157, 0.536], [0.843, 0.464, 0.843], [0.464, 0.843, 0.843], [0.843, 0.843, 0.464], [0.536, 0.157, 0.157]]}

w is preferred energetically. Next in line: 529 meV per atom higher.

w.
{"formula": "Y3TmPd", "functional": "PBE", "state": "optimized geometry", "total_magnetization_mub_per_fu": 0.00, "lattice_angstrom": [[7.170, -0.056, -0.204], [-2.015, 6.882, 0.204], [-3.022, -3.077, 6.157]], "species": ["Y", "Y", "Y", "Y", "Y", "Y", "Tm", "Tm", "Pd", "Pd"], "frac_coords": [[0.832, 0.013, 0.242], [0.229, 0.410, 0.242], [0.771, 0.590, 0.758], [0.727, 0.461, 0.188], [0.168, 0.987, 0.758], [0.273, 0.539, 0.812], [0.700, 0.071, 0.771], [0.300, 0.929, 0.229], [0.643, 0.771, 0.415], [0.357, 0.229, 0.585]]}

x.
{"formula": "Y3TmPd", "functional": "PBE", "state": "optimized geometry", "total_magnetization_mub_per_fu": 0.00, "lattice_angstrom": [[3.667, 0.000, 0.603], [1.781, 6.100, 0.621], [-0.187, -0.599, 12.596]], "species": ["Y", "Y", "Y", "Y", "Y", "Y", "Tm", "Tm", "Pd", "Pd"], "frac_coords": [[0.457, 0.932, 0.154], [0.759, 0.727, 0.755], [0.103, 0.168, 0.627], [0.992, 0.099, 0.917], [0.781, 0.048, 0.389], [0.432, 0.623, 0.514], [0.110, 0.502, 0.278], [0.222, 0.562, 0.995], [0.770, 0.330, 0.130], [0.436, 0.346, 0.783]]}

x is preferred energetically. Next in line: 91 meV per atom higher.

w.
{"formula": "Y4TmPd2", "functional": "PBE", "state": "optimized geometry", "total_magnetization_mub_per_fu": 0.00, "lattice_angstrom": [[5.197, 0.000, 0.000], [2.599, 4.501, 0.000], [2.599, 1.500, 8.549]], "species": ["Y", "Y", "Y", "Y", "Tm", "Pd", "Pd"], "frac_coords": [[0.710, 0.710, 0.870], [0.886, 0.886, 0.341], [0.290, 0.290, 0.130], [0.114, 0.114, 0.659], [0.500, 0.500, 0.500], [0.603, 0.603, 0.192], [0.397, 0.397, 0.808]]}

x.
{"formula": "Y4TmPd2", "functional": "PBE", "state": "optimized geometry", "total_magnetization_mub_per_fu": 0.00, "lattice_angstrom": [[-5.195, 2.716, 2.543], [-4.156, -1.895, -6.465], [-0.451, -5.846, 5.323]], "species": ["Y", "Y", "Y", "Y", "Y", "Y", "Y", "Y", "Tm", "Tm", "Pd", "Pd", "Pd", "Pd"], "frac_coords": [[0.500, 0.300, 0.800], [0.750, 0.055, 0.075], [0.250, 0.945, 0.925], [0.000, 0.300, 0.800], [0.250, 0.575, 0.554], [0.000, 0.700, 0.200], [0.500, 0.700, 0.200], [0.750, 0.425, 0.446], [0.750, 0.859, 0.641], [0.250, 0.141, 0.359], [0.750, 0.643, 0.857], [0.250, 0.357, 0.143], [0.250, 0.933, 0.567], [0.750, 0.067, 0.433]]}

x is preferred energetically. Next in line: 65 meV per atom higher.

w.
{"formula": "YTmPd", "functional": "PBE", "state": "optimized geometry", "total_magnetization_mub_per_fu": 0.00, "lattice_angstrom": [[-2.614, 0.596, 4.056], [-1.590, -3.881, 2.460], [1.936, -1.098, 4.323]], "species": ["Y", "Tm", "Pd"], "frac_coords": [[0.000, 0.000, 0.000], [0.500, 0.500, 0.500], [0.250, 0.250, 0.250]]}

x.
{"formula": "YTmPd", "functional": "PBE", "state": "optimized geometry", "total_magnetization_mub_per_fu": 0.00, "lattice_angstrom": [[-1.463, -1.460, 2.856], [2.310, -2.657, -0.175], [3.419, 5.164, 2.216]], "species": ["Y", "Tm", "Pd"], "frac_coords": [[0.308, 0.308, 0.615], [0.031, 0.031, 0.063], [0.661, 0.661, 0.322]]}

x is preferred energetically. Next in line: 82 meV per atom higher.

w.
{"formula": "YTmPd", "functional": "PBE", "state": "optimized geometry", "total_magnetization_mub_per_fu": 0.00, "lattice_angstrom": [[-1.137, -0.776, -3.246], [2.722, -6.488, 0.599], [-5.377, 0.022, 3.791]], "species": ["Y", "Y", "Tm", "Tm", "Pd", "Pd"], "frac_coords": [[0.301, 0.483, 0.369], [0.577, 0.621, 0.920], [0.577, 0.121, 0.921], [0.301, 0.983, 0.368], [0.941, 0.288, 0.648], [0.937, 0.816, 0.641]]}

x.
{"formula": "YTmPd", "functional": "PBE", "state": "optimized geometry", "total_magnetization_mub_per_fu": 0.00, "lattice_angstrom": [[-3.600, 6.128, 1.277], [-5.076, -3.416, 2.084], [3.078, 0.525, 6.157]], "species": ["Pd", "Pd", "Pd", "Pd", "Tm", "Tm", "Tm", "Tm", "Y", "Y", "Y", "Y"], "frac_coords": [[0.552, 0.711, 0.294], [0.948, 0.711, 0.794], [0.052, 0.289, 0.206], [0.448, 0.289, 0.706], [0.890, 0.902, 0.230], [0.610, 0.902, 0.730], [0.390, 0.098, 0.270], [0.110, 0.098, 0.770], [0.261, 0.581, 0.003], [0.239, 0.581, 0.503], [0.761, 0.419, 0.497], [0.739, 0.419, 0.997]]}

y.
{"formula": "YTmPd", "functional": "PBE", "state": "optimized geometry", "total_magnetization_mub_per_fu": 0.00, "lattice_angstrom": [[-3.043, -4.491, -5.007], [6.068, -2.103, 3.641], [-5.479, -3.933, 6.859]], "species": ["Y", "Y", "Y", "Y", "Y", "Y", "Tm", "Tm", "Tm", "Tm", "Tm", "Tm", "Pd", "Pd", "Pd", "Pd", "Pd", "Pd"], "frac_coords": [[0.000, 0.264, 0.000], [0.736, 0.736, 0.000], [0.264, 0.000, 0.000], [0.000, 0.264, 0.500], [0.736, 0.736, 0.500], [0.264, 0.000, 0.500], [0.000, 0.594, 0.250], [0.406, 0.406, 0.250], [0.594, 0.000, 0.250], [0.406, 0.406, 0.750], [0.000, 0.594, 0.750], [0.594, 0.000, 0.750], [0.000, 0.000, 0.250], [0.000, 0.000, 0.750], [0.667, 0.333, 0.000], [0.667, 0.333, 0.500], [0.333, 0.667, 0.000], [0.333, 0.667, 0.500]]}

w is preferred energetically. Next in line: 6 meV per atom higher.